K3Pd2RhO6 after structural relaxation, computed with GGA-PBE.

Geometry as CIF:
```
data_K3Pd2RhO6
_symmetry_space_group_name_H-M 'C 1 2/m 1'
_symmetry_Int_Tables_number 12
_symmetry_space_group_name_Hall '-C 2y'
_cell_length_a 6.002
_cell_length_b 9.576
_cell_length_c 6.162
_cell_angle_alpha 90.00
_cell_angle_beta 110.57
_cell_angle_gamma 90.00
loop_
_atom_site_label
_atom_site_type_symbol
_atom_site_fract_x
_atom_site_fract_y
_atom_site_fract_z
K1 K 0.000 0.000 0.000
K2 K 0.000 0.333 0.000
Pd1 Pd 0.000 0.167 0.500
Rh1 Rh 0.000 0.500 0.500
O1 O 0.203 0.333 0.680
O2 O 0.234 0.000 0.661
```



KAu3F after structural relaxation, computed with GGA-PBE.

Geometry as CIF:
```
data_KAu3F
_symmetry_space_group_name_H-M 'P m -3 m'
_symmetry_Int_Tables_number 221
_symmetry_space_group_name_Hall '-P 4 2 3'
_cell_length_a 4.882
_cell_length_b 4.882
_cell_length_c 4.882
_cell_angle_alpha 90.00
_cell_angle_beta 90.00
_cell_angle_gamma 90.00
loop_
_atom_site_label
_atom_site_type_symbol
_atom_site_fract_x
_atom_site_fract_y
_atom_site_fract_z
K1 K 0.000 0.000 0.000
Au1 Au 0.000 0.500 0.500
F1 F 0.500 0.500 0.500
```



CsHfTl2Cl8 after structural relaxation, computed with GGA-PBE.

Geometry as CIF:
```
data_CsHfTl2Cl8
_symmetry_space_group_name_H-M 'P -1'
_symmetry_Int_Tables_number 2
_symmetry_space_group_name_Hall '-P 1'
_cell_length_a 6.689
_cell_length_b 7.214
_cell_length_c 8.677
_cell_angle_alpha 89.64
_cell_angle_beta 73.69
_cell_angle_gamma 88.85
loop_
_atom_site_label
_atom_site_type_symbol
_atom_site_fract_x
_atom_site_fract_y
_atom_site_fract_z
Cs1 Cs 0.000 0.000 0.000
Hf1 Hf 0.500 0.000 0.500
Tl1 Tl 0.447 0.512 0.264
Cl1 Cl 0.174 0.499 0.053
Cl2 Cl 0.233 0.246 0.591
Cl3 Cl 0.239 0.762 0.606
Cl4 Cl 0.427 0.988 0.236
```



| no. | uncorrected formation energy (eV per atom) | calculated total energy (eV/atom) |
| --- | --- | --- |
| 1 | -0.85 | -5.084 |
| 2 | 0.09 | -2.471 |
| 3 | -1.46 | -3.983 |